1.
Ce2NdSn2Pd2: relaxed, PBE.

Summary:
ΔE_f	-5.162	eV per formula unit
uncorrected energy	-0.4220	Ry/atom
magnetic moment	2.68	Bohr magnetons per cell

Cell lengths 4.6645, 4.6645, 26.9366 Å; angles 90.00, 90.00, 120.00 degrees
Space group R-3m (No. 166, hexagonal axes)
Symmetry-distinct sites (fractional):
Ce 0.0000 0.0000 0.1428 [6 per cell]
Nd 0.0000 0.0000 0.0000 [3 per cell]
Sn 0.0000 0.0000 0.2647 [6 per cell]
Pd 0.0000 0.0000 0.4367 [6 per cell]

=====

2.
Ho2GaRh3: relaxed, PBE.

Summary:
ΔE_f	-5.346	eV per formula unit
uncorrected energy	-0.4849	Ry/atom
magnetic moment	0.00	Bohr magnetons per cell

Cell lengths 5.5993, 5.5993, 11.8835 Å; angles 90.00, 90.00, 120.00 degrees
Space group R-3m (No. 166, hexagonal axes)
Symmetry-distinct sites (fractional):
Ho 0.0000 0.0000 0.1303 [6 per cell]
Ga 0.0000 0.0000 0.5000 [3 per cell]
Rh 0.0000 0.5000 0.0000 [9 per cell]

=====

3.
Ac5TlCd2: relaxed, PBE.

Summary:
ΔE_f	-1.693	eV per formula unit
uncorrected energy	-0.2428	Ry/atom
magnetic moment	0.00	Bohr magnetons per cell

Cell lengths 8.415, 8.415, 17.074 Å; angles 90.00, 90.00, 90.00 degrees
Space group I4/mcm (No. 140)
Symmetry-distinct sites (fractional):
Ac 0.000 0.000 0.000 [4 per cell]
Ac 0.168 0.332 0.152 [16 per cell]
Tl 0.000 0.000 0.250 [4 per cell]
Cd 0.122 0.378 0.500 [8 per cell]

=====

4.
ReAg: relaxed, PBE.

Summary:
ΔE_f	1.088	eV per formula unit
uncorrected energy	-0.5222	Ry/atom
magnetic moment	0.00	Bohr magnetons per cell

Cell lengths 10.070, 10.070, 2.783 Å; angles 90.00, 90.00, 90.00 degrees
Space group P4/m (No. 83)
Symmetry-distinct sites (fractional):
Re 0.044 0.374 0.000 [4 per cell]
Re 0.164 0.562 0.500 [4 per cell]
Ag 0.138 0.845 0.500 [4 per cell]
Ag 0.336 0.382 0.000 [4 per cell]

=====

5.
La4Pm2SmTm: relaxed, PBE.

Summary:
ΔE_f	0.709	eV per formula unit
uncorrected energy	-0.3463	Ry/atom
magnetic moment	0.00	Bohr magnetons per cell

Cell lengths 6.061, 6.059, 7.653 Å; angles 90.00, 90.01, 90.00 degrees
Space group P2/m (No. 10)
Symmetry-distinct sites (fractional):
La 0.001 0.000 0.258 [2 per cell]
La 0.498 0.500 0.256 [2 per cell]
Pm 0.000 0.500 0.000 [1 per cell]
Pm 0.500 0.000 0.500 [1 per cell]
Sm 0.500 0.000 0.000 [1 per cell]
Tm 0.000 0.500 0.500 [1 per cell]

=====

6.
MgCdAu: relaxed, PBE.

Summary:
ΔE_f	-0.952	eV per formula unit
uncorrected energy	-0.1651	Ry/atom
magnetic moment	0.00	Bohr magnetons per cell

Cell lengths 6.516, 6.516, 6.516 Å; angles 90.00, 90.00, 90.00 degrees
Space group F-43m (No. 216)
Symmetry-distinct sites (fractional):
Mg 0.000 0.000 0.000 [4 per cell]
Cd 0.000 0.000 0.500 [4 per cell]
Au 0.250 0.250 0.750 [4 per cell]

=====

7.
CeIn2Te4Pb: relaxed, PBE.

Summary:
uncorrected energy	-0.3005	Ry/atom
magnetic moment	0.41	Bohr magnetons per cell
formation energy from raw total energies	-628	meV per atom

Cell lengths 7.970, 4.532, 8.221 Å; angles 90.00, 108.44, 90.00 degrees
Space group P2/m (No. 10)
Symmetry-distinct sites (fractional):
Ce 0.000 0.000 0.000 [1 per cell]
In 0.000 0.500 0.500 [1 per cell]
In 0.500 0.000 0.500 [1 per cell]
Te 0.231 0.500 0.232 [2 per cell]
Te 0.238 0.000 0.760 [2 per cell]
Pb 0.500 0.500 0.000 [1 per cell]

=====

8.
SrSi4Ag: relaxed, PBE.

Summary:
uncorrected energy	-0.3101	Ry/atom
magnetic moment	0.00	Bohr magnetons per cell
formation energy from raw total energies	151	meV per atom

Cell lengths 7.658, 7.658, 7.658 Å; angles 90.00, 90.00, 90.00 degrees
Space group F-43m (No. 216)
Symmetry-distinct sites (fractional):
Sr 0.000 0.000 0.000 [4 per cell]
Si 0.123 0.123 0.377 [16 per cell]
Ag 0.250 0.250 0.750 [4 per cell]